[1]
Entry from Alexandria via LeMat-Bulk: a relaxed Pr2PtPb crystal (PBE).

Structure (POSCAR):
```
Pr2PtPb
1.0
2.066 1.193 8.394
-2.066 1.193 8.394
0.000 -2.385 8.394
Pr Pt Pb
2 1 1
direct
0.235 0.235 0.235 Pr
0.765 0.765 0.765 Pr
0.500 0.500 0.500 Pt
0.000 0.000 0.000 Pb
```

- Energy relative to the elements: -694 meV per atom
- Total magnetic moment: 0.00 μB per formula unit
- Space-group type: No. 166


[2]
Entry from Alexandria via LeMat-Bulk: a relaxed Ac5LaPd6 crystal (PBE).

Structure (POSCAR):
```
Ac5LaPd6
1.0
3.807 -6.581 0.000
3.807 6.581 0.000
-2.540 0.000 7.186
Ac La Pd
5 1 6
direct
0.000 0.000 0.000 Ac
0.166 0.834 0.500 Ac
0.332 0.668 0.000 Ac
0.668 0.332 0.000 Ac
0.834 0.166 0.500 Ac
0.500 0.500 0.500 La
0.090 0.418 0.253 Pd
0.255 0.255 0.747 Pd
0.418 0.090 0.253 Pd
0.582 0.910 0.747 Pd
0.745 0.745 0.253 Pd
0.910 0.582 0.747 Pd
```

- Energy relative to the elements: -775 meV per atom
- Total magnetic moment: 0.00 μB per formula unit
- Space-group type: No. 12


[3]
Entry from Alexandria via LeMat-Bulk: a relaxed CsSm2HgSe4 crystal (PBE).

Structure (POSCAR):
```
CsSm2HgSe4
1.0
2.184 -7.427 0.000
2.184 7.427 0.000
0.000 0.000 15.646
Cs Sm Hg Se
2 4 2 8
direct
0.121 0.879 0.750 Cs
0.879 0.121 0.250 Cs
0.375 0.625 0.559 Sm
0.375 0.625 0.941 Sm
0.625 0.375 0.059 Sm
0.625 0.375 0.441 Sm
0.174 0.826 0.250 Hg
0.826 0.174 0.750 Hg
0.000 0.000 0.000 Se
0.000 0.000 0.500 Se
0.256 0.744 0.093 Se
0.256 0.744 0.407 Se
0.438 0.562 0.750 Se
0.562 0.438 0.250 Se
0.744 0.256 0.593 Se
0.744 0.256 0.907 Se
```

- Total magnetic moment: 0.00 μB per formula unit
- Space-group type: No. 63
- Uncorrected formation energy: -1.3088 eV per atom


[4]
Entry from Alexandria via LeMat-Bulk: a relaxed CuTcRh2 crystal (PBE).

Structure (POSCAR):
```
CuTcRh2
1.0
4.516 0.000 0.000
0.000 4.516 0.000
0.000 0.000 2.767
Cu Tc Rh
1 1 2
direct
0.000 0.000 0.000 Cu
0.500 0.500 0.000 Tc
0.000 0.500 0.500 Rh
0.500 0.000 0.500 Rh
```

- Energy relative to the elements: 210 meV per atom
- Total magnetic moment: 0.35 μB per formula unit
- Space-group type: No. 123


The calculation returns the following DOS(E_F) values, one per record and in order: 3.90; 7.74; 7.68; 4.39 states/eV per cell.